A geometry-optimized ScVSe2O8 structure. Source: Alexandria, functional PBE+U.

Unit cell a=9.1746 b=5.2411 c=15.3200 alpha=90.00 beta=110.09 gamma=90.00
Space group P2_1/c (No. 14)
Unique sites:
Sc (0.1963, 0.1843, 0.1103) (multiplicity 4)
V (0.3707, 0.6380, 0.0154) (multiplicity 4)
Se (0.0571, 0.1870, 0.3710) (multiplicity 4)
Se (0.3945, 0.7075, 0.8051) (multiplicity 4)
O (0.0093, 0.5304, 0.6012) (multiplicity 4)
O (0.1046, 0.0035, 0.6614) (multiplicity 4)
O (0.1620, 0.0873, 0.4862) (multiplicity 4)
O (0.2949, 0.7216, 0.8837) (multiplicity 4)
O (0.2982, 0.6166, 0.5594) (multiplicity 4)
O (0.3225, 0.0653, 0.2466) (multiplicity 4)
O (0.4161, 0.0993, 0.6268) (multiplicity 4)
O (0.4403, 0.2083, 0.4608) (multiplicity 4)

Results
For the theoretical density, the calculation gives 3.67 g cm⁻³. As for the calculated total energy: -6.7009 eV/atom.